The following is a DFT calculation (PBE) of a relaxed structure of RbPa4S12.

a = 9.0804 Å, b = 9.0804 Å, c = 9.0804 Å
α = 109.47°, β = 109.47°, γ = 109.47°
Closest atoms and distances in Å follow each position.
Fractional positions:
S 0.2487 0.2476 0.4964  2 Pa 2.62
S 0.2487 0.7524 0.0011  2 Pa 2.62
S 0.9989 0.7513 0.2476  2 Pa 2.62
S 0.7513 0.2476 0.9989  2 Pa 2.62
S 0.0011 0.2487 0.7524  2 Pa 2.62
S 0.7524 0.5036 0.7513  2 Pa 2.62
S 0.7524 0.0011 0.2487  2 Pa 2.62
S 0.4964 0.2487 0.2476  2 Pa 2.62
S 0.7513 0.7524 0.5036  2 Pa 2.62
S 0.5036 0.7513 0.7524  2 Pa 2.62
S 0.2476 0.9989 0.7513  2 Pa 2.62
S 0.2476 0.4964 0.2487  2 Pa 2.62
Pa 0.5000 0.5000 0.5000  6 S 2.62
Pa 0.5000 0.0000 0.0000  6 S 2.62
Pa 0.0000 0.0000 0.5000  6 S 2.62
Pa 0.0000 0.5000 0.0000  6 S 2.62
Rb 0.0000 0.0000 0.0000  12 S 3.68

Symmetry: Im-3 (204)
N(E_F), states/eV per cell: 5.76
Spin magnetization, μB per formula unit: 0.0
Density, Mg/m³: 4.02
ΔE_f (raw), eV per atom: -1.182
DFT total energy, eV/atom: -6.39

---

The following is a DFT calculation (PBE) of a relaxed structure of Rb5PaS5.

a = 6.0977 Å, b = 8.1872 Å, c = 8.9864 Å
α = 107.74°, β = 90.00°, γ = 111.86°
Closest atoms and distances in Å follow each position.
Fractional positions:
S 0.8676 0.7353 0.7213  1 Pa 2.65
S 0.1266 0.2532 0.8606  1 Pa 2.62
S 0.1324 0.2647 0.2787  1 Pa 2.65
S 0.8734 0.7468 0.1394  1 Pa 2.62
S 0.5000 0.0000 0.0000  2 Pa 3.05, 4 Rb 3.33-3.38
Rb 0.6759 0.3518 0.8473  5 S 3.15-3.46
Rb 0.3241 0.6482 0.1527  5 S 3.15-3.46
Rb 0.0000 0.0000 0.5000  4 S 3.18-3.26
Rb 0.3043 0.6086 0.6927  4 S 3.18-3.50
Rb 0.6957 0.3914 0.3073  4 S 3.18-3.50
Pa 0.0000 0.0000 0.0000  4 S 2.62-2.65

Symmetry: C2/m (12)
N(E_F), states/eV per cell: 0.00
Spin magnetization, μB per formula unit: 0.0
Density, Mg/m³: 3.46
ΔE_f (raw), eV per atom: -1.303
DFT total energy, eV/atom: -4.48

---

The following is a DFT calculation (PBE) of a relaxed structure of Rb3Pa4S12.

a = 9.1193 Å, b = 9.1193 Å, c = 9.1193 Å
α = 109.47°, β = 109.47°, γ = 109.47°
Closest atoms and distances in Å follow each position.
Fractional positions:
S 0.2529 0.2517 0.5046  2 Pa 2.63
S 0.7471 0.7483 0.4954  2 Pa 2.63
S 0.9988 0.7471 0.2517  2 Pa 2.63
S 0.0012 0.2529 0.7483  2 Pa 2.63
S 0.4954 0.7471 0.7483  2 Pa 2.63
S 0.5046 0.2529 0.2517  2 Pa 2.63
S 0.2529 0.7483 0.0012  2 Pa 2.63
S 0.2517 0.5046 0.2529  2 Pa 2.63
S 0.2517 0.9988 0.7471  2 Pa 2.63
S 0.7483 0.0012 0.2529  2 Pa 2.63
S 0.7471 0.2517 0.9988  2 Pa 2.63
S 0.7483 0.4954 0.7471  2 Pa 2.63
Rb 0.5000 0.0000 0.5000  12 S 3.69-3.73
Rb 0.0000 0.5000 0.5000  12 S 3.69-3.73
Rb 0.5000 0.5000 0.0000  12 S 3.69-3.73
Pa 0.5000 0.5000 0.5000  6 S 2.63
Pa 0.0000 0.0000 0.5000  6 S 2.63
Pa 0.0000 0.5000 0.0000  6 S 2.63
Pa 0.5000 0.0000 0.0000  6 S 2.63

Symmetry: Im-3 (204)
N(E_F), states/eV per cell: 8.81
Spin magnetization, μB per formula unit: 0.0
Density, Mg/m³: 4.45
ΔE_f (raw), eV per atom: -1.463
DFT total energy, eV/atom: -6.22

---

The following is a DFT calculation (PBE) of a relaxed structure of Rb2PaS3.

a = 7.4584 Å, b = 7.4583 Å, c = 8.1219 Å
α = 99.03°, β = 99.03°, γ = 119.90°
Closest atoms and distances in Å follow each position.
Fractional positions:
S 0.8813 0.5985 0.8015  2 Pa 2.78
S 0.6487 0.9820 0.8040  2 Pa 2.78
S 0.7854 0.7349 0.1985  2 Pa 2.78
S 0.0180 0.3513 0.1960  2 Pa 2.78
S 0.2651 0.2146 0.8015  2 Pa 2.78
S 0.4015 0.1187 0.1985  2 Pa 2.78
Rb 0.8333 0.1667 0.5000  6 S 3.18-3.55
Rb 0.3333 0.6667 0.0000  6 S 3.23-3.25
Rb 0.1788 0.8212 0.5000  6 S 3.22-3.60
Rb 0.4879 0.5122 0.5000  6 S 3.22-3.60
Pa 0.6658 0.3342 0.0000  6 S 2.78
Pa 0.0009 0.9991 0.0000  6 S 2.78

Offset from the most stable computed form, meV/atom: 0.0
Symmetry: C2/m (12)
N(E_F), states/eV per cell: 10.83
Spin magnetization, μB per formula unit: 1.0
Density, Mg/m³: 4.45
ΔE_f (raw), eV per atom: -1.475
DFT total energy, eV/atom: -5.44

---

The following is a DFT calculation (PBE) of a relaxed structure of RbPa4S8.

a = 4.2350 Å, b = 10.3968 Å, c = 8.2558 Å
α = 78.20°, β = 75.14°, γ = 78.25°
Closest atoms and distances in Å follow each position.
Fractional positions:
S 0.4691 0.2906 0.7711  3 Pa 2.73-2.81
S 0.5623 0.7126 0.1628  3 Pa 2.73-2.80
S 0.9355 0.6482 0.4807  4 Pa 2.70-2.88
S 0.2734 0.6369 0.8163  4 Pa 2.81-3.05
S 0.8613 0.9726 0.3048  3 Pa 2.72-2.86
S 0.0953 0.3555 0.4538  4 Pa 2.70-2.88
S 0.1704 0.0311 0.6280  3 Pa 2.72-2.86
S 0.7578 0.3662 0.1182  4 Pa 2.81-3.03
Pa 0.3583 0.8135 0.4698  6 S 2.70-2.86
Pa 0.6733 0.1903 0.4631  6 S 2.70-2.86
Pa 0.8858 0.4610 0.7675  7 S 2.73-2.88
Pa 0.1454 0.5422 0.1670  7 S 2.73-2.88
Rb 0.5163 0.0013 0.9662  6 S 3.10-3.41

Offset from the most stable computed form, meV/atom: 0.0
Symmetry: Cm (8)
N(E_F), states/eV per cell: 16.05
Spin magnetization, μB per formula unit: 5.1
Density, Mg/m³: 6.19
ΔE_f (raw), eV per atom: -1.562
DFT total energy, eV/atom: -7.10

---

The following is a DFT calculation (PBE) of a relaxed structure of RbPa2S6.

a = 3.9672 Å, b = 9.2066 Å, c = 9.2066 Å
α = 73.76°, β = 64.47°, γ = 64.47°
Closest atoms and distances in Å follow each position.
Fractional positions:
S 0.4943 0.8849 0.6217  2 S 2.62-2.91, 2 Pa 2.71
S 0.4943 0.6217 0.8849  2 S 2.62-2.91, 2 Pa 2.71
S 0.5000 0.6519 0.3481  2 Pa 2.61
S 0.5000 0.3481 0.6519  2 Pa 2.61
S 0.5057 0.1151 0.3783  2 S 2.62-2.91, 2 Pa 2.71
S 0.5057 0.3783 0.1151  2 S 2.62-2.91, 2 Pa 2.71
Pa 0.8209 0.3390 0.3390  6 S 2.61-2.71
Pa 0.1791 0.6610 0.6610  6 S 2.61-2.71
Rb 0.0000 0.0000 0.0000  4 S 3.39

Offset from the most stable computed form, meV/atom: 93.9
Symmetry: Cmmm (65)
N(E_F), states/eV per cell: 3.93
Spin magnetization, μB per formula unit: 0.1
Density, Mg/m³: 4.52
ΔE_f (raw), eV per atom: -1.187
DFT total energy, eV/atom: -6.16

---

Which of these has the highest N(E_F)?
RbPa4S8

---

Look up the N(E_F) of the third one.
8.81 states/eV per cell

---

What did the first record say?
The following is a DFT calculation (PBE) of a relaxed structure of RbPa4S12.

a = 9.0804 Å, b = 9.0804 Å, c = 9.0804 Å
α = 109.47°, β = 109.47°, γ = 109.47°
Closest atoms and distances in Å follow each position.
Fractional positions:
S 0.2487 0.2476 0.4964  2 Pa 2.62
S 0.2487 0.7524 0.0011  2 Pa 2.62
S 0.9989 0.7513 0.2476  2 Pa 2.62
S 0.7513 0.2476 0.9989  2 Pa 2.62
S 0.0011 0.2487 0.7524  2 Pa 2.62
S 0.7524 0.5036 0.7513  2 Pa 2.62
S 0.7524 0.0011 0.2487  2 Pa 2.62
S 0.4964 0.2487 0.2476  2 Pa 2.62
S 0.7513 0.7524 0.5036  2 Pa 2.62
S 0.5036 0.7513 0.7524  2 Pa 2.62
S 0.2476 0.9989 0.7513  2 Pa 2.62
S 0.2476 0.4964 0.2487  2 Pa 2.62
Pa 0.5000 0.5000 0.5000  6 S 2.62
Pa 0.5000 0.0000 0.0000  6 S 2.62
Pa 0.0000 0.0000 0.5000  6 S 2.62
Pa 0.0000 0.5000 0.0000  6 S 2.62
Rb 0.0000 0.0000 0.0000  12 S 3.68

Symmetry: Im-3 (204)
N(E_F), states/eV per cell: 5.76
Spin magnetization, μB per formula unit: 0.0
Density, Mg/m³: 4.02
ΔE_f (raw), eV per atom: -1.182
DFT total energy, eV/atom: -6.39

---

Which formula does entry 1 have?
RbPa4S12